A plane-wave DFT calculation with PBE was carried out for a geometry-optimized HgWCl2 structure.

Its uncorrected formation energy is 34.0 kJ per mole of atoms. The crystal system is monoclinic.

Cell: 3.0040 4.0093 7.1712 Å, 90.00 97.59 90.00°
Closest atoms and distances in Å follow each position.
Fractional positions:
Hg: 0.0000 0.0000 0.0000  2 Hg 3.00, 2 W 3.09, 4 Cl 3.24-3.25
W: 0.0554 0.5000 0.3305  5 Cl 2.36-2.64
Cl: 0.1863 0.5000 0.6626  1 W 2.36
Cl: 0.6252 0.0000 0.4044  4 W 2.48-2.64



A plane-wave DFT calculation with PBE was carried out for a geometry-optimized HgW2Cl structure.

Its uncorrected formation energy is 141.7 kJ per mole of atoms. The crystal system is tetragonal.

Cell: 5.5580 5.5580 5.5580 Å, 138.66 138.66 59.89°
Closest atoms and distances in Å follow each position.
Fractional positions:
Hg: 0.0000 0.0000 0.0000  4 Cl 2.77, 8 W 3.11
W: 0.2500 0.7500 0.5000  4 W 2.77, 4 Hg 3.11, 4 Cl 3.11
W: 0.7500 0.2500 0.5000  4 W 2.77, 4 Hg 3.11, 4 Cl 3.11
Cl: 0.5000 0.5000 0.0000  4 Hg 2.77, 8 W 3.11



A plane-wave DFT calculation with PBE was carried out for a geometry-optimized Hg2WCl structure.

Its uncorrected formation energy is 33.3 kJ per mole of atoms. The crystal system is orthorhombic.

Cell: 3.1447 3.1447 11.2515 Å, 90.00 90.00 124.37°
Closest atoms and distances in Å follow each position.
Fractional positions:
Hg: 0.0000 0.0000 0.0000  6 Hg 2.93-3.14
Hg: 0.5000 0.5000 0.2641  2 W 2.91, 6 Hg 2.93-3.14
W: 0.0000 0.0000 0.4876  2 Cl 2.41
Cl: 0.5000 0.5000 0.6572  2 W 2.41



A plane-wave DFT calculation with PBE was carried out for a geometry-optimized Hg2WCl structure.

Its uncorrected formation energy is 34.3 kJ per mole of atoms. The crystal system is orthorhombic.

Cell: 7.6292 7.6292 7.6292 Å, 157.65 142.27 44.30°
Closest atoms and distances in Å follow each position.
Fractional positions:
Hg: 0.0000 0.0000 0.0000  2 W 2.91, 4 Hg 2.96-3.22
Hg: 0.6466 0.1466 0.5000  4 W 2.91, 4 Hg 2.96-3.22
W: 0.1776 0.6776 0.5000  2 Cl 2.42
Cl: 0.3130 0.3130 0.0000  2 W 2.42



A plane-wave DFT calculation with PBE was carried out for a geometry-optimized Hg2WCl structure.

Its uncorrected formation energy is 56.8 kJ per mole of atoms. The crystal system is orthorhombic.

Cell: 3.2039 3.2039 9.3534 Å, 90.00 90.00 121.26°
Closest atoms and distances in Å follow each position.
Fractional positions:
Hg: 0.0000 0.0000 0.2497  2 W 2.81, 2 Cl 2.82, 2 Hg 3.14
Hg: 0.0000 0.0000 0.7503  2 W 2.81, 2 Cl 2.82, 2 Hg 3.14
W: 0.5000 0.5000 0.0000  4 Hg 2.81, 2 W 3.14
Cl: 0.5000 0.5000 0.5000  4 Hg 2.82, 2 Cl 3.14



A plane-wave DFT calculation with PBE was carried out for a geometry-optimized HgWCl2 structure.

Its uncorrected formation energy is -3.8 kJ per mole of atoms. The crystal system is orthorhombic.

Cell: 7.3109 7.3109 7.3109 Å, 156.71 138.03 48.55°
Closest atoms and distances in Å follow each position.
Fractional positions:
Hg: 0.0000 0.0000 0.0000  2 Hg 2.95, 4 W 3.01, 4 Cl 3.29
W: 0.5000 0.5000 0.0000  4 Cl 2.48
Cl: 0.3503 0.8503 0.5000  2 W 2.48
Cl: 0.6497 0.1497 0.5000  2 W 2.48



A plane-wave DFT calculation with PBE was carried out for a geometry-optimized HgW2Cl structure.

Its uncorrected formation energy is 37.2 kJ per mole of atoms. The crystal system is trigonal.

Cell: 10.8975 10.8975 10.8975 Å, 15.37 15.37 15.37°
Closest atoms and distances in Å follow each position.
Fractional positions:
Hg: 0.0000 0.0000 0.0000  6 Hg 2.91, 3 W 3.09
W: 0.4868 0.4868 0.4868  3 Cl 2.50
W: 0.7470 0.7470 0.7470  9 W 2.90-2.91, 3 Hg 3.09
Cl: 0.2109 0.2109 0.2109  3 W 2.50



A plane-wave DFT calculation with PBE was carried out for a geometry-optimized Hg2WCl structure.

Its uncorrected formation energy is 55.8 kJ per mole of atoms. The crystal system is orthorhombic.

Cell: 4.4421 5.8630 5.8630 Å, 31.19 90.00 90.00°
Closest atoms and distances in Å follow each position.
Fractional positions:
Hg: 0.0000 0.0000 0.0000  3 Cl 2.95-3.16, 4 W 3.00, 6 Hg 3.15-3.22
Hg: 0.5000 0.3482 0.3482  3 W 2.97-3.11, 4 Cl 3.08, 6 Hg 3.15-3.22
W: 0.5000 0.6109 0.6109  2 Cl 2.54
Cl: 0.0000 0.7204 0.7204  2 W 2.54